A relaxed Y2TmNbN4 crystal. Source: Alexandria via LeMat-Bulk, functional PBE.

Properties
Volume ... 13.32 Å³/atom
Energy relative to the elements, uncorrected ... -1.540 eV/atom
SG ... P2/m, No. 10
Total moment ... 0.0 μB/cell

Cell and atoms, written as POSCAR:
```
Y2TmNbN4
1.0
-0.1997 -3.2524 0.7418
5.7487 -0.1760 0.7759
-2.5659 1.3094 5.0502
Y N Nb Tm
2 4 1 1
direct
0.0000 0.5000 0.5000
0.5000 0.0000 0.5000
0.0000 0.7573 0.2344
0.5000 0.2353 0.2312
0.5000 0.7647 0.7688
0.0000 0.2427 0.7656
0.0000 0.0000 0.0000
0.5000 0.5000 0.0000
```